DFT (GGA+U) results for a geometry-optimized Ca8Al3Fe5O20 structure.

abc: 5.493 8.426 10.697
angles: 108.50 90.00 108.93
Space group P1 (No. 1)
Unique sites:
Ca1 0.000 0.000 0.000 [1 per cell]
Ca2 0.001 0.000 0.500 [1 per cell]
Ca3 0.254 0.421 0.605 [1 per cell]
Ca4 0.257 0.422 0.106 [1 per cell]
Ca5 0.545 0.000 0.246 [1 per cell]
Ca6 0.547 0.000 0.752 [1 per cell]
Ca7 0.709 0.422 0.856 [1 per cell]
Ca8 0.710 0.421 0.353 [1 per cell]
Al1 0.128 0.210 0.303 [1 per cell]
Al2 0.128 0.212 0.811 [1 per cell]
Al3 0.628 0.211 0.056 [1 per cell]
Fe1 0.311 0.707 0.404 [1 per cell]
Fe2 0.312 0.710 0.906 [1 per cell]
Fe3 0.628 0.210 0.557 [1 per cell]
Fe4 0.943 0.711 0.155 [1 per cell]
Fe5 0.945 0.715 0.657 [1 per cell]
O1 0.270 0.710 0.723 [1 per cell]
O2 0.272 0.712 0.223 [1 per cell]
O3 0.317 0.477 0.377 [1 per cell]
O4 0.320 0.483 0.887 [1 per cell]
O5 0.356 0.187 0.680 [1 per cell]
O6 0.361 0.186 0.420 [1 per cell]
O7 0.366 0.189 0.174 [1 per cell]
O8 0.372 0.192 0.928 [1 per cell]
O9 0.547 0.941 0.996 [1 per cell]
O10 0.554 0.929 0.501 [1 per cell]
O11 0.701 0.492 0.639 [1 per cell]
O12 0.710 0.481 0.134 [1 per cell]
O13 0.886 0.232 0.938 [1 per cell]
O14 0.890 0.230 0.185 [1 per cell]
O15 0.894 0.233 0.432 [1 per cell]
O16 0.901 0.236 0.692 [1 per cell]
O17 0.935 0.940 0.244 [1 per cell]
O18 0.940 0.943 0.751 [1 per cell]
O19 0.985 0.710 0.973 [1 per cell]
O20 0.986 0.710 0.473 [1 per cell]

Properties
- calculated density (kg/m³) = 3767
- E (Ha/atom) = -0.249